Density functional theory data (PBE-GGA) for a geometry-optimized GdNpGa4 structure.

The space group is F-43m (No. 216) and the conventional cell measures 7.808, 7.808 and 7.808 Å, with angles of 90.00, 90.00 and 90.00 degrees. The distinct sites, in fractional coordinates, are Gd at (0.000, 0.000, 0.000), Np at (0.250, 0.250, 0.250) and Ga at (0.124, 0.124, 0.624).

For the calculated formation energy, the calculation gives -304 meV/atom. As for the density of states at the Fermi level: 2.452 states/eV/atom. For the total moment, the calculation gives 2.42 μB/f.u.